{"formula": "La5Tb12Ag3", "functional": "PBE-GGA", "state": "relaxed", "lattice": [[-8.891, 8.891, 8.891], [8.891, -8.891, 8.891], [8.891, 8.891, -8.891]], "species": ["La", "La", "La", "La", "La", "La", "La", "La", "La", "La", "La", "La", "La", "La", "La", "La", "La", "La", "La", "La", "Tb", "Tb", "Tb", "Tb", "Tb", "Tb", "Tb", "Tb", "Tb", "Tb", "Tb", "Tb", "Tb", "Tb", "Tb", "Tb", "Tb", "Tb", "Tb", "Tb", "Tb", "Tb", "Tb", "Tb", "Tb", "Tb", "Tb", "Tb", "Tb", "Tb", "Tb", "Tb", "Tb", "Tb", "Tb", "Tb", "Tb", "Tb", "Tb", "Tb", "Tb", "Tb", "Tb", "Tb", "Tb", "Tb", "Tb", "Tb", "Ag", "Ag", "Ag", "Ag", "Ag", "Ag", "Ag", "Ag", "Ag", "Ag", "Ag", "Ag"], "frac_coords": [[0.000, 0.000, 0.000], [0.000, 0.000, 0.500], [0.000, 0.500, 0.000], [0.000, 0.500, 0.500], [0.125, 0.750, 0.875], [0.125, 0.875, 0.250], [0.250, 0.125, 0.875], [0.250, 0.625, 0.375], [0.375, 0.250, 0.625], [0.375, 0.625, 0.750], [0.500, 0.000, 0.000], [0.500, 0.000, 0.500], [0.500, 0.500, 0.000], [0.500, 0.500, 0.500], [0.625, 0.375, 0.250], [0.625, 0.750, 0.375], [0.750, 0.375, 0.625], [0.750, 0.875, 0.125], [0.875, 0.125, 0.750], [0.875, 0.250, 0.125], [0.068, 0.642, 0.405], [0.068, 0.925, 0.662], [0.075, 0.237, 0.142], [0.075, 0.338, 0.932], [0.095, 0.737, 0.662], [0.095, 0.858, 0.432], [0.142, 0.075, 0.237], [0.142, 0.568, 0.905], [0.162, 0.237, 0.595], [0.162, 0.425, 0.568], [0.237, 0.142, 0.075], [0.237, 0.595, 0.162], [0.263, 0.338, 0.905], [0.263, 0.425, 0.358], [0.338, 0.905, 0.263], [0.338, 0.932, 0.075], [0.358, 0.263, 0.425], [0.358, 0.595, 0.932], [0.405, 0.068, 0.642], [0.405, 0.838, 0.763], [0.425, 0.358, 0.263], [0.425, 0.568, 0.162], [0.432, 0.095, 0.858], [0.432, 0.838, 0.575], [0.568, 0.162, 0.425], [0.568, 0.905, 0.142], [0.575, 0.432, 0.838], [0.575, 0.642, 0.737], [0.595, 0.162, 0.237], [0.595, 0.932, 0.358], [0.642, 0.405, 0.068], [0.642, 0.737, 0.575], [0.662, 0.068, 0.925], [0.662, 0.095, 0.737], [0.737, 0.575, 0.642], [0.737, 0.662, 0.095], [0.763, 0.405, 0.838], [0.763, 0.858, 0.925], [0.838, 0.575, 0.432], [0.838, 0.763, 0.405], [0.858, 0.432, 0.095], [0.858, 0.925, 0.763], [0.905, 0.142, 0.568], [0.905, 0.263, 0.338], [0.925, 0.662, 0.068], [0.925, 0.763, 0.858], [0.932, 0.075, 0.338], [0.932, 0.358, 0.595], [0.125, 0.250, 0.375], [0.125, 0.375, 0.750], [0.250, 0.375, 0.125], [0.250, 0.875, 0.625], [0.375, 0.125, 0.250], [0.375, 0.750, 0.125], [0.625, 0.250, 0.875], [0.625, 0.875, 0.750], [0.750, 0.125, 0.375], [0.750, 0.625, 0.875], [0.875, 0.625, 0.250], [0.875, 0.750, 0.625]], "magnetic_moment_mub_per_cell": 0.000, "crystal_system": "cubic", "sg": "No. 230", "formation_enthalpy_0k_ev_per_atom": 0.7650}

---

{"formula": "SrCdAg2B", "functional": "PBE-GGA", "state": "relaxed", "lattice": [[4.561, 0.000, 0.000], [0.000, 4.561, 0.000], [0.000, 0.000, 5.409]], "species": ["Sr", "Cd", "Ag", "Ag", "B"], "frac_coords": [[0.000, 0.000, 0.000], [0.500, 0.500, 0.000], [0.000, 0.500, 0.500], [0.500, 0.000, 0.500], [0.000, 0.000, 0.500]], "magnetic_moment_mub_per_cell": 0.000, "crystal_system": "tetragonal", "sg": "No. 123", "formation_enthalpy_0k_ev_per_atom": 0.3171}

---

{"formula": "BaCa2Al2Sn2", "functional": "PBE-GGA", "state": "relaxed", "lattice": [[2.485, 1.435, 9.942], [-2.485, 1.435, 9.942], [0.000, -2.870, 9.942]], "species": ["Ba", "Ca", "Ca", "Al", "Al", "Sn", "Sn"], "frac_coords": [[0.000, 0.000, 0.000], [0.135, 0.135, 0.135], [0.865, 0.865, 0.865], [0.416, 0.416, 0.416], [0.584, 0.584, 0.584], [0.251, 0.251, 0.251], [0.749, 0.749, 0.749]], "magnetic_moment_mub_per_cell": 0.000, "crystal_system": "trigonal", "sg": "No. 166", "formation_enthalpy_0k_ev_per_atom": -0.2890}